A geometry-optimized MnAl2I structure. Source: the Alexandria database, functional PBEsol.

abc: 7.771 7.771 5.523
angles: 90.00 90.00 90.00
Positions (direct):
Mn  0.000  0.000  0.000
Mn  0.000  0.500  0.250
Mn  0.500  0.000  0.750
Mn  0.500  0.500  0.500
Al  0.203  0.250  0.125
Al  0.250  0.703  0.375
Al  0.250  0.797  0.875
Al  0.297  0.250  0.625
Al  0.703  0.750  0.625
Al  0.750  0.203  0.875
Al  0.750  0.297  0.375
Al  0.797  0.750  0.125
I  0.000  0.000  0.500
I  0.000  0.500  0.750
I  0.500  0.000  0.250
I  0.500  0.500  0.000

Output
Formation energy without anion corrections: 0.5609 eV per atom
Total magnetization: 3.30 μB per formula unit

=====

A geometry-optimized Na3HS structure. Source: the Alexandria database, functional PBEsol.

abc: 4.372 4.372 4.372
angles: 90.00 90.00 90.00
Positions (direct):
Na  0.000  0.000  0.500
Na  0.000  0.500  0.000
Na  0.500  0.000  0.000
H  0.000  0.000  0.000
S  0.500  0.500  0.500

Output
Uncorrected energy: -15.18 eV per formula unit
Total magnetization: 0.00 μB per formula unit

=====

A geometry-optimized AlAuSe structure. Source: the Alexandria database, functional PBEsol.

abc: 2.828 3.394 11.537
angles: 90.00 90.00 90.00
Positions (direct):
Al  0.000  0.000  0.000
Al  0.500  0.500  0.500
Au  0.000  0.000  0.365
Au  0.500  0.500  0.865
Se  0.000  0.000  0.642
Se  0.500  0.500  0.142

Output
Relative energy among the computed polymorphs: 0.000 eV per atom
Formation energy without anion corrections: -0.0807 eV per atom
Total magnetization: 0.00 μB per formula unit

=====

A geometry-optimized LaTc8 structure. Source: the Alexandria database, functional PBEsol.

abc: 6.259 6.259 6.259
angles: 96.11 96.11 141.93
Positions (direct):
La  0.000  0.000  0.000
Tc  0.000  0.355  0.355
Tc  0.000  0.645  0.645
Tc  0.306  0.306  0.613
Tc  0.306  0.694  0.000
Tc  0.355  0.000  0.355
Tc  0.645  0.000  0.645
Tc  0.694  0.306  0.000
Tc  0.694  0.694  0.387

Output
Uncorrected energy: -94.45 eV per formula unit
Total magnetization: 0.00 μB per formula unit

=====

A geometry-optimized Na2Sb5C2S2N2O3F9 structure. Source: the Alexandria database, functional PBEsol.

abc: 6.953 9.252 13.149
angles: 74.71 78.61 83.12
Positions (direct):
Na  0.109  0.295  0.039
Na  0.329  0.856  0.081
Na  0.671  0.144  0.919
Na  0.891  0.705  0.961
Sb  0.038  0.433  0.761
Sb  0.226  0.077  0.303
Sb  0.297  0.044  0.772
Sb  0.447  0.640  0.881
Sb  0.449  0.650  0.362
Sb  0.551  0.350  0.638
Sb  0.553  0.360  0.119
Sb  0.703  0.956  0.228
Sb  0.774  0.923  0.697
Sb  0.962  0.567  0.239
C  0.051  0.292  0.542
C  0.264  0.740  0.622
C  0.736  0.260  0.378
C  0.949  0.708  0.458
S  0.255  0.918  0.568
S  0.259  0.297  0.461
S  0.741  0.703  0.539
S  0.745  0.082  0.432
N  0.097  0.714  0.393
N  0.275  0.607  0.661
N  0.725  0.393  0.339
N  0.903  0.286  0.607
O  0.278  0.299  0.728
O  0.437  0.876  0.309
O  0.494  0.143  0.232
O  0.506  0.857  0.768
O  0.563  0.124  0.691
O  0.722  0.701  0.272
F  0.028  0.759  0.123
F  0.131  0.483  0.881
F  0.152  0.293  0.214
F  0.170  0.028  0.173
F  0.200  0.779  0.902
F  0.305  0.531  0.036
F  0.368  0.052  0.910
F  0.378  0.633  0.228
F  0.447  0.259  0.027
F  0.553  0.741  0.973
F  0.622  0.367  0.772
F  0.632  0.948  0.090
F  0.695  0.469  0.964
F  0.800  0.221  0.098
F  0.830  0.972  0.827
F  0.848  0.707  0.786
F  0.869  0.517  0.119
F  0.972  0.241  0.877

Output
Formation energy without anion corrections: -1.5591 eV per atom
Total magnetization: 0.00 μB per formula unit

=====

A geometry-optimized ZrNiBr2 structure. Source: the Alexandria database, functional PBEsol.

abc: 3.247 6.023 8.156
angles: 90.00 90.00 90.00
Positions (direct):
Zr  0.000  0.000  0.000
Zr  0.500  0.500  0.000
Ni  0.000  0.000  0.500
Ni  0.500  0.500  0.500
Br  0.000  0.500  0.275
Br  0.000  0.500  0.725
Br  0.500  0.000  0.275
Br  0.500  0.000  0.725

Output
Relative energy among the computed polymorphs: 0.674 eV per atom
Formation energy without anion corrections: -0.0115 eV per atom
Total magnetization: 0.43 μB per formula unit

=====

A geometry-optimized Ag2SbPb structure. Source: the Alexandria database, functional PBEsol.

abc: 3.253 4.646 6.065
angles: 90.00 90.00 90.00
Positions (direct):
Ag  0.000  0.000  0.237
Ag  0.000  0.000  0.763
Sb  0.000  0.500  0.500
Pb  0.500  0.500  0.000

Output
Formation energy without anion corrections: 0.1213 eV per atom
Total magnetization: 0.00 μB per formula unit

=====

A geometry-optimized Y3Os structure. Source: the Alexandria database, functional PBEsol.

abc: 4.362 4.362 5.167
angles: 90.00 90.00 90.00
Positions (direct):
Y  0.000  0.000  0.000
Y  0.000  0.500  0.478
Y  0.500  0.000  0.478
Os  0.500  0.500  0.099

Output
Uncorrected energy: -32.09 eV per formula unit
Total magnetization: 0.00 μB per formula unit